[1]
Here is a relaxed CeTaCrC3 crystal from Alexandria. Energies are from PBE-GGA.

Unit cell a=6.985 b=3.321 c=7.501 alpha=90.00 beta=104.12 gamma=90.00
Fractional coordinates of all 12 atoms:
Ce: 0.188 0.250 0.199
Ce: 0.812 0.750 0.801
Ta: 0.351 0.750 0.858
Ta: 0.649 0.250 0.142
Cr: 0.098 0.250 0.606
Cr: 0.902 0.750 0.394
C: 0.121 0.250 0.859
C: 0.181 0.750 0.531
C: 0.438 0.750 0.153
C: 0.562 0.250 0.847
C: 0.819 0.250 0.469
C: 0.879 0.750 0.141

Summary:
- DFT total energy: -9.2969 eV per atom
- Formation energy: -0.700 eV/f.u.
- SG: P2_1/m, No. 11

[2]
Here is a relaxed CaHo2Al2Zn2 crystal from Alexandria. Energies are from PBE-GGA.

Unit cell a=9.593 b=9.593 c=9.593 alpha=27.42 beta=27.42 gamma=27.42
Fractional coordinates of all 7 atoms:
Ca: 0.000 0.000 0.000
Ho: 0.129 0.129 0.129
Ho: 0.871 0.871 0.871
Al: 0.256 0.256 0.256
Al: 0.744 0.744 0.744
Zn: 0.408 0.408 0.408
Zn: 0.592 0.592 0.592

Summary:
- DFT total energy: -3.2990 eV per atom
- Formation energy: -1.903 eV/f.u.
- SG: R-3m, No. 166

[3]
Here is a relaxed Sm2NpCoN5 crystal from Alexandria. Energies are from PBE-GGA.

Unit cell a=6.776 b=6.776 c=10.510 alpha=90.00 beta=90.00 gamma=150.51
Fractional coordinates of all 18 atoms:
Sm: 0.101 0.899 0.500
Sm: 0.134 0.866 0.135
Sm: 0.866 0.134 0.635
Sm: 0.899 0.101 0.000
Np: 0.200 0.800 0.834
Np: 0.800 0.200 0.334
Co: 0.477 0.523 0.271
Co: 0.523 0.477 0.771
N: 0.037 0.963 0.844
N: 0.286 0.714 0.466
N: 0.324 0.676 0.210
N: 0.364 0.636 0.815
N: 0.490 0.510 0.596
N: 0.510 0.490 0.096
N: 0.636 0.364 0.315
N: 0.676 0.324 0.710
N: 0.714 0.286 0.966
N: 0.963 0.037 0.344

Summary:
- DFT total energy: -8.7895 eV per atom
- SG: Cmc2_1, No. 36